<A>
Below is BaNaMg2Cu after structural relaxation, with properties calculated at the PBE level.

a b c (Å): 6.6350 6.6350 5.7112
angles (deg): 90.00 90.00 90.00
With the nearest neighbours (Å) after each atom.
Space group P4/mmm (No. 123)
Symmetry-distinct sites (fractional):
Ba 0.0000 0.0000 0.0000 [1 per cell]  2 Cu 2.86
Na 0.5000 0.5000 0.5000 [1 per cell]  8 Mg 4.38, 4 Cu 4.69
Mg 0.0000 0.5000 0.0000 [2 per cell]  2 Ba 3.32
Cu 0.0000 0.0000 0.5000 [1 per cell]  2 Ba 2.86

Summary:
* crystal system: tetragonal

=====

<B>
Below is BaNaMg2Cu after structural relaxation, with properties calculated at the PBE level.

a b c (Å): 5.1579 5.1579 5.6245
angles (deg): 90.00 90.00 90.00
With the nearest neighbours (Å) after each atom.
Space group P4/mmm (No. 123)
Symmetry-distinct sites (fractional):
Ba 0.0000 0.0000 0.0000 [1 per cell]  4 Na 3.65, 8 Mg 3.82
Na 0.5000 0.5000 0.0000 [1 per cell]  2 Cu 2.81
Mg 0.0000 0.5000 0.5000 [2 per cell]  2 Cu 2.58
Cu 0.5000 0.5000 0.5000 [1 per cell]  4 Mg 2.58, 2 Na 2.81

Summary:
* crystal system: tetragonal

=====

It is <A> that is the least stable of them.

=====

<A>
Below is BaSrMg2Cu after structural relaxation, with properties calculated at the PBE level.

a b c (Å): 5.3983 5.3983 5.7536
angles (deg): 90.00 90.00 90.00
With the nearest neighbours (Å) after each atom.
Space group P4/mmm (No. 123)
Symmetry-distinct sites (fractional):
Ba 0.0000 0.0000 0.0000 [1 per cell]  2 Cu 2.88
Sr 0.5000 0.5000 0.0000 [1 per cell]  4 Ba 3.82, 8 Mg 3.94
Mg 0.0000 0.5000 0.5000 [2 per cell]  2 Cu 2.70
Cu 0.0000 0.0000 0.5000 [1 per cell]  4 Mg 2.70, 2 Ba 2.88

Summary:
* crystal system: tetragonal

=====

<B>
Below is BaSrMg2Cu after structural relaxation, with properties calculated at the PBE level.

a b c (Å): 5.3508 5.3508 5.7079
angles (deg): 90.00 90.00 90.00
With the nearest neighbours (Å) after each atom.
Space group P4/mmm (No. 123)
Symmetry-distinct sites (fractional):
Ba 0.0000 0.0000 0.0000 [1 per cell]  4 Sr 3.78, 8 Mg 3.91
Sr 0.5000 0.5000 0.0000 [1 per cell]  2 Cu 2.85
Mg 0.0000 0.5000 0.5000 [2 per cell]  2 Cu 2.68
Cu 0.5000 0.5000 0.5000 [1 per cell]  4 Mg 2.68, 2 Sr 2.85

Summary:
* crystal system: tetragonal

=====

It is <A> that is the least stable of them.

=====

<A>
Below is Ba2MnCu after structural relaxation, with properties calculated at the PBE level.

a b c (Å): 4.5249 4.5249 25.5511
angles (deg): 90.00 90.00 120.00
With the nearest neighbours (Å) after each atom.
Space group R-3m (No. 166, hexagonal axes)
Symmetry-distinct sites (fractional):
Ba 0.0000 0.0000 0.2443 [6 per cell]  3 Cu 3.28, 3 Mn 3.46
Mn 0.0000 0.0000 0.0000 [3 per cell]  6 Ba 3.46
Cu 0.0000 0.0000 0.5000 [3 per cell]  6 Ba 3.28

Summary:
* crystal system: trigonal

=====

<B>
Below is Ba2MnCu after structural relaxation, with properties calculated at the PBE level.

a b c (Å): 8.8630 8.8630 7.2713
angles (deg): 90.00 90.00 90.00
With the nearest neighbours (Å) after each atom.
Space group I-42d (No. 122)
Symmetry-distinct sites (fractional):
Ba 0.2212 0.2500 0.1250 [8 per cell]  2 Cu 3.09, 2 Mn 3.44
Mn 0.0000 0.0000 0.5000 [4 per cell]  4 Ba 3.44, 2 Cu 3.64
Cu 0.0000 0.0000 0.0000 [4 per cell]  4 Ba 3.09

Summary:
* crystal system: tetragonal

=====

It is <B> that is the least stable of them.

=====

<A>
Below is Ba2MnCu after structural relaxation, with properties calculated at the PBE level.

a b c (Å): 8.0642 8.0642 8.0642
angles (deg): 90.00 90.00 90.00
With the nearest neighbours (Å) after each atom.
Space group Fm-3m (No. 225)
Symmetry-distinct sites (fractional):
Ba 0.2500 0.2500 0.2500 [8 per cell]  4 Cu 3.49, 4 Mn 3.49
Mn 0.0000 0.0000 0.0000 [4 per cell]  8 Ba 3.49
Cu 0.0000 0.0000 0.5000 [4 per cell]  8 Ba 3.49

Summary:
* crystal system: cubic

=====

<B>
Below is Ba2MnCu after structural relaxation, with properties calculated at the PBE level.

a b c (Å): 4.7139 4.7139 11.7659
angles (deg): 90.00 90.00 90.00
With the nearest neighbours (Å) after each atom.
Space group I-4m2 (No. 119)
Symmetry-distinct sites (fractional):
Ba 0.0000 0.0000 0.0000 [2 per cell]  4 Mn 3.33
Ba 0.0000 0.5000 0.2500 [2 per cell]  4 Cu 3.33
Mn 0.0000 0.0000 0.5000 [2 per cell]  4 Ba 3.33
Cu 0.0000 0.5000 0.7500 [2 per cell]  4 Ba 3.33

Summary:
* crystal system: tetragonal

=====

<C>
Below is Ba2MnCu after structural relaxation, with properties calculated at the PBE level.

a b c (Å): 4.4907 4.9076 12.6152
angles (deg): 90.00 90.00 90.00
With the nearest neighbours (Å) after each atom.
Space group Amm2 (No. 38)
Symmetry-distinct sites (fractional):
Ba 0.0000 0.0000 0.0000 [2 per cell]  3 Cu 3.46-3.86, 4 Mn 3.55
Ba 0.5000 0.0000 0.2832 [2 per cell]  2 Mn 3.38, 4 Cu 3.51
Mn 0.5000 0.0000 0.5983 [2 per cell]  2 Cu 2.55
Cu 0.0000 0.0000 0.6937 [2 per cell]  2 Mn 2.55

Summary:
* crystal system: orthorhombic

=====

It is <B> that is the least stable of them.

=====

<A>
Below is Ba2MnCu after structural relaxation, with properties calculated at the PBE level.

a b c (Å): 3.7106 3.7106 9.4324
angles (deg): 90.00 90.00 90.00
With the nearest neighbours (Å) after each atom.
Space group P4mm (No. 99)
Symmetry-distinct sites (fractional):
Ba 0.0000 0.0000 0.0000 [1 per cell]  1 Cu 3.23, 4 Mn 3.58
Ba 0.5000 0.5000 0.4077 [1 per cell]  1 Mn 3.15, 4 Cu 3.52
Mn 0.5000 0.5000 0.7413 [1 per cell]  4 Cu 2.74
Cu 0.0000 0.0000 0.6570 [1 per cell]  4 Mn 2.74

Summary:
* crystal system: tetragonal

=====

<B>
Below is Ba2MnCu after structural relaxation, with properties calculated at the PBE level.

a b c (Å): 8.0626 8.0703 4.0044
angles (deg): 90.00 90.00 90.00
With the nearest neighbours (Å) after each atom.
Space group Cmmm (No. 65)
Symmetry-distinct sites (fractional):
Ba 0.2500 0.2500 0.0000 [4 per cell]  4 Mn 3.48, 4 Cu 3.48
Mn 0.0000 0.0000 0.5000 [2 per cell]  8 Ba 3.48
Cu 0.0000 0.5000 0.5000 [2 per cell]  8 Ba 3.48

Summary:
* crystal system: orthorhombic

=====

It is <B> that is the least stable of them.

=====

<A>
Below is Ba2MnCu after structural relaxation, with properties calculated at the PBE level.

a b c (Å): 4.0180 4.0566 8.0148
angles (deg): 90.00 90.06 90.00
With the nearest neighbours (Å) after each atom.
Space group P2/m (No. 10)
Symmetry-distinct sites (fractional):
Ba 0.0004 0.0000 0.2419 [2 per cell]  4 Cu 3.45, 4 Mn 3.52-3.53
Mn 0.5000 0.5000 0.5000 [1 per cell]  8 Ba 3.52-3.53
Cu 0.5000 0.5000 0.0000 [1 per cell]  8 Ba 3.45

Summary:
* crystal system: monoclinic

=====

<B>
Below is Ba2MnCu after structural relaxation, with properties calculated at the PBE level.

a b c (Å): 7.7536 7.7536 7.7536
angles (deg): 90.00 90.00 90.00
With the nearest neighbours (Å) after each atom.
Space group F-43m (No. 216)
Symmetry-distinct sites (fractional):
Ba 0.0000 0.0000 0.0000 [4 per cell]  4 Ba 3.36, 4 Mn 3.36
Ba 0.2500 0.2500 0.2500 [4 per cell]  4 Ba 3.36, 4 Cu 3.36
Mn 0.2500 0.2500 0.7500 [4 per cell]  4 Ba 3.36, 4 Cu 3.36
Cu 0.0000 0.0000 0.5000 [4 per cell]  4 Ba 3.36, 4 Mn 3.36

Summary:
* crystal system: cubic

=====

It is <B> that is the least stable of them.

=====

<A>
Below is BaMnCu after structural relaxation, with properties calculated at the PBE level.

a b c (Å): 4.4086 4.4086 4.8521
angles (deg): 90.00 90.00 120.00
With the nearest neighbours (Å) after each atom.
Space group P-6m2 (No. 187)
Symmetry-distinct sites (fractional):
Ba 0.0000 0.0000 0.0000 [1 per cell]  6 Mn 3.52, 6 Cu 3.52
Mn 0.3333 0.6667 0.5000 [1 per cell]  3 Cu 2.55
Cu 0.6667 0.3333 0.5000 [1 per cell]  3 Mn 2.55

Summary:
* crystal system: hexagonal

=====

<B>
Below is BaMnCu after structural relaxation, with properties calculated at the PBE level.

a b c (Å): 7.0824 7.0824 7.0824
angles (deg): 90.00 90.00 90.00
With the nearest neighbours (Å) after each atom.
Space group F-43m (No. 216)
Symmetry-distinct sites (fractional):
Ba 0.0000 0.0000 0.0000 [4 per cell]  4 Cu 3.07
Mn 0.0000 0.0000 0.5000 [4 per cell]  4 Cu 3.07
Cu 0.2500 0.2500 0.2500 [4 per cell]  4 Mn 3.07, 4 Ba 3.07

Summary:
* crystal system: cubic

=====

It is <B> that is the least stable of them.

=====

<A>
Below is BaMnCu3 after structural relaxation, with properties calculated at the PBE level.

a b c (Å): 4.8374 4.8374 4.8374
angles (deg): 90.00 90.00 90.00
With the nearest neighbours (Å) after each atom.
Space group Pm-3m (No. 221)
Symmetry-distinct sites (fractional):
Ba 0.0000 0.0000 0.0000 [1 per cell]  12 Cu 3.42
Mn 0.5000 0.5000 0.5000 [1 per cell]  6 Cu 2.42
Cu 0.0000 0.5000 0.5000 [3 per cell]  2 Mn 2.42

Summary:
* crystal system: cubic

=====

<B>
Below is BaMnCu3 after structural relaxation, with properties calculated at the PBE level.

a b c (Å): 5.4775 5.4775 5.4775
angles (deg): 90.00 90.00 90.00
With the nearest neighbours (Å) after each atom.
Space group Pm-3m (No. 221)
Symmetry-distinct sites (fractional):
Ba 0.0000 0.0000 0.0000 [1 per cell]  6 Cu 2.74
Mn 0.5000 0.5000 0.5000 [1 per cell]  12 Cu 3.87
Cu 0.0000 0.0000 0.5000 [3 per cell]  2 Ba 2.74

Summary:
* crystal system: cubic

=====

It is <B> that is the least stable of them.